[1]
# RbMnTlSe3 PBE optimized geometry
data_RbMnTlSe3
_chemical_formula_sum 'Rb4 Mn4 Tl4 Se12'
_space_group_name_H-M_alt 'C m c m'
_space_group_IT_number 63
_space_group_name_Hall '-C 2c 2'
_cell_length_a 7.468
_cell_length_b 14.902
_cell_length_c 6.915
_cell_angle_alpha 90.00
_cell_angle_beta 90.00
_cell_angle_gamma 90.00
loop_
_atom_site_label
_atom_site_fract_x
_atom_site_fract_y
_atom_site_fract_z
Rb1 0.000 0.223 0.250
Mn1 0.000 0.045 0.750
Tl1 0.000 0.400 0.750
Se1 0.000 0.207 0.750
Se2 0.216 0.000 0.000
# **Total energy**: -26.480 eV/f.u.
# **Magnetization**: 12.123 μB/cell
# **Formation energy (no corrections)**: -0.5872 eV/atom



[2]
# KRbF2 PBE optimized geometry
data_KRbF2
_chemical_formula_sum 'K4 Rb4 F8'
_space_group_name_H-M_alt 'I -4 2 d'
_space_group_IT_number 122
_space_group_name_Hall 'I -4 2bw'
_cell_length_a 6.184
_cell_length_b 6.184
_cell_length_c 11.860
_cell_angle_alpha 90.00
_cell_angle_beta 90.00
_cell_angle_gamma 90.00
loop_
_atom_site_label
_atom_site_fract_x
_atom_site_fract_y
_atom_site_fract_z
K1 0.000 0.000 0.000
Rb1 0.000 0.000 0.500
F1 0.233 0.250 0.125
# **Total energy**: -16.289 eV/f.u.
# **Magnetization**: 0.000 μB/cell
# **Formation energy (no corrections)**: -2.6203 eV/atom
# **Relative energy among the computed polymorphs**: 0.072 eV/atom



[3]
# Mg2CdMo PBE optimized geometry
data_Mg2CdMo
_chemical_formula_sum 'Mg4 Cd2 Mo2'
_space_group_name_H-M_alt 'C 1 m 1'
_space_group_IT_number 8
_space_group_name_Hall 'C -2y'
_cell_length_a 10.135
_cell_length_b 2.901
_cell_length_c 5.258
_cell_angle_alpha 90.00
_cell_angle_beta 101.06
_cell_angle_gamma 90.00
loop_
_atom_site_label
_atom_site_fract_x
_atom_site_fract_y
_atom_site_fract_z
Mg1 0.000 0.000 0.000
Mg2 0.244 0.000 0.726
Cd1 0.496 0.000 0.470
Mo1 0.247 0.500 0.223
# **Total energy**: -13.742 eV/f.u.
# **Energy of formation**: 0.298 eV/atom
# **Magnetization**: 0.000 μB/cell



[4]
# Sc2CdSb PBE optimized geometry
data_Sc2CdSb
_chemical_formula_sum 'Sc4 Cd2 Sb2'
_space_group_name_H-M_alt 'C 1 2/m 1'
_space_group_IT_number 12
_space_group_name_Hall '-C 2y'
_cell_length_a 6.438
_cell_length_b 8.321
_cell_length_c 3.353
_cell_angle_alpha 90.00
_cell_angle_beta 90.18
_cell_angle_gamma 90.00
loop_
_atom_site_label
_atom_site_fract_x
_atom_site_fract_y
_atom_site_fract_z
Sc1 0.250 0.250 0.000
Cd1 0.000 0.000 0.500
Sb1 0.000 0.500 0.500
# **Total energy**: -19.512 eV/f.u.
# **Magnetization**: 1.407 μB/cell
# **Formation energy (no corrections)**: -0.4528 eV/atom
# **Relative energy among the computed polymorphs**: 0.063 eV/atom



[5]
# Al2HgPb PBE optimized geometry
data_Al2HgPb
_chemical_formula_sum 'Al4 Hg2 Pb2'
_space_group_name_H-M_alt 'C 1 m 1'
_space_group_IT_number 8
_space_group_name_Hall 'C -2y'
_cell_length_a 8.632
_cell_length_b 3.335
_cell_length_c 6.678
_cell_angle_alpha 90.00
_cell_angle_beta 99.78
_cell_angle_gamma 90.00
loop_
_atom_site_label
_atom_site_fract_x
_atom_site_fract_y
_atom_site_fract_z
Al1 0.000 0.000 0.000
Al2 0.238 0.500 0.180
Hg1 0.258 0.000 0.782
Pb1 0.493 0.000 0.463
# **Total energy**: -10.755 eV/f.u.
# **Energy of formation**: 0.185 eV/atom
# **Magnetization**: 0.000 μB/cell
# **Relative energy among the computed polymorphs**: 0.039 eV/atom



[6]
# PtRh2Br PBE optimized geometry
data_PtRh2Br
_chemical_formula_sum 'Pt2 Rh4 Br2'
_space_group_name_H-M_alt 'C m m 2'
_space_group_IT_number 35
_space_group_name_Hall 'C 2 -2'
_cell_length_a 2.791
_cell_length_b 4.920
_cell_length_c 9.836
_cell_angle_alpha 90.00
_cell_angle_beta 90.00
_cell_angle_gamma 90.00
loop_
_atom_site_label
_atom_site_fract_x
_atom_site_fract_y
_atom_site_fract_z
Pt1 0.000 0.000 0.000
Rh1 0.000 0.000 0.541
Rh2 0.000 0.500 0.763
Br1 0.000 0.500 0.303
# **Total energy**: -20.379 eV/f.u.
# **Magnetization**: 0.000 μB/cell
# **Formation energy (no corrections)**: 0.5094 eV/atom
# **Relative energy among the computed polymorphs**: 0.211 eV/atom



[7]
# CsPt3O PBE optimized geometry
data_CsPt3O
_chemical_formula_sum 'Cs1 Pt3 O1'
_space_group_name_H-M_alt 'P m -3 m'
_space_group_IT_number 221
_space_group_name_Hall '-P 4 2 3'
_cell_length_a 4.586
_cell_length_b 4.586
_cell_length_c 4.586
_cell_angle_alpha 90.00
_cell_angle_beta 90.00
_cell_angle_gamma 90.00
loop_
_atom_site_label
_atom_site_fract_x
_atom_site_fract_y
_atom_site_fract_z
Cs1 0.000 0.000 0.000
Pt1 0.000 0.500 0.500
O1 0.500 0.500 0.500
# **Total energy**: -19.987 eV/f.u.
# **Magnetization**: 0.000 μB/cell
# **Formation energy (no corrections)**: 0.7894 eV/atom
# **Relative energy among the computed polymorphs**: 0.000 eV/atom



[8]
# Tm2AlCo PBE optimized geometry
data_Tm2AlCo
_chemical_formula_sum 'Tm8 Al4 Co4'
_space_group_name_H-M_alt 'F m -3 m'
_space_group_IT_number 225
_space_group_name_Hall '-F 4 2 3'
_cell_length_a 6.900
_cell_length_b 6.900
_cell_length_c 6.900
_cell_angle_alpha 90.00
_cell_angle_beta 90.00
_cell_angle_gamma 90.00
loop_
_atom_site_label
_atom_site_fract_x
_atom_site_fract_y
_atom_site_fract_z
Tm1 0.250 0.250 0.250
Al1 0.000 0.000 0.000
Co1 0.000 0.000 0.500
# **Total energy**: -20.766 eV/f.u.
# **Energy of formation**: -0.244 eV/atom
# **Magnetization**: 3.418 μB/cell
# **Relative energy among the computed polymorphs**: 0.086 eV/atom